1.
First-principles (PBE) data for a relaxed LaNd2Al3AgPt2 crystal, as listed in OQMD via LeMat-Bulk.

a b c (Å): 4.2419 7.3092 7.3092
angles (deg): 119.64 90.00 90.00
With the nearest neighbours (Å) after each atom.
Atoms (fractional coordinates):
Pt: 0.5000 0.3352 0.6674  3 Al 2.81-2.85, 2 La 3.03, 4 Nd 3.05-3.06
Al: 0.5000 0.0038 0.7578  2 Ag 2.77, 2 Pt 2.81-2.84, 1 Al 3.05
Ag: 0.0000 0.0004 0.0004  6 Al 2.75-2.77
Al: 0.5000 0.7578 0.0038  2 Ag 2.77, 2 Pt 2.81-2.84, 1 Al 3.05
Nd: 0.0000 0.4215 0.0000  4 Pt 3.05-3.06, 1 Ag 3.08, 6 Al 3.24-3.41
Nd: 0.0000 0.0000 0.4215  4 Pt 3.05-3.06, 1 Ag 3.08, 6 Al 3.24-3.41
La: 0.0000 0.5756 0.5756  4 Pt 3.03, 1 Ag 3.12, 2 Al 3.26
Al: 0.5000 0.2383 0.2383  2 Ag 2.75, 2 Pt 2.85, 2 Al 3.05
Pt: 0.5000 0.6674 0.3352  3 Al 2.81-2.85, 2 La 3.03, 4 Nd 3.05-3.06

SG = Amm2, No. 38
E_tot = -5.315 eV per atom
Size of the total moment = 0.00 μB per atom

=====

2.
First-principles (PBE) data for a relaxed LaAl5NiAg crystal, as listed in OQMD via LeMat-Bulk.

a b c (Å): 6.4683 6.4683 6.4683
angles (deg): 143.09 111.17 80.75
With the nearest neighbours (Å) after each atom.
Atoms (fractional coordinates):
Al: 0.8482 0.6481 0.2001  1 Ni 2.45, 2 Ag 2.70
Ag: 0.7482 0.2482 0.5000  7 Al 2.51-2.70
Al: 0.4480 0.6481 0.7999  1 Ni 2.45, 2 Ag 2.70
Al: 0.1694 0.3473 0.8221  1 Ag 2.55, 2 Ni 2.58, 3 Al 2.60-2.82
Al: 0.5251 0.3473 0.1779  1 Ag 2.55, 2 Ni 2.58, 3 Al 2.60-2.82
La: 0.0090 0.0090 0.0000  2 Ni 3.20, 2 Ag 3.29, 10 Al 3.30-3.58
Al: 0.4935 0.9935 0.5000  1 Ni 2.31, 1 Ag 2.51
Ni: 0.2587 0.7587 0.5000  7 Al 2.31-2.58

SG = Imm2, No. 44
E_tot = -4.428 eV per atom
Size of the total moment = 0.00 μB per atom

=====

3.
First-principles (PBE) data for a relaxed La2PrAl7Ag2 crystal, as listed in OQMD via LeMat-Bulk.

a b c (Å): 9.5828 9.5828 9.5828
angles (deg): 34.57 34.57 34.57
With the nearest neighbours (Å) after each atom.
Atoms (fractional coordinates):
Al: 0.0737 0.5854 0.5854  2 Ag 2.71-2.79, 5 Al 2.78-2.91
Al: 0.5000 0.5000 0.5000  6 Al 2.85
Ag: 0.6637 0.6637 0.6637  6 Al 2.71-2.79
Al: 0.9263 0.4146 0.4146  2 Ag 2.71-2.79, 5 Al 2.78-2.91
Al: 0.5854 0.5854 0.0737  2 Ag 2.71-2.79, 5 Al 2.78-2.91
Ag: 0.3363 0.3363 0.3363  6 Al 2.71-2.79
La: 0.1423 0.1423 0.1423  12 Al 3.29-3.37, 3 La 3.54
Al: 0.4146 0.9263 0.4146  2 Ag 2.71-2.79, 5 Al 2.78-2.91
Al: 0.4146 0.4146 0.9263  2 Ag 2.71-2.79, 5 Al 2.78-2.91
La: 0.8577 0.8577 0.8577  12 Al 3.29-3.37, 3 La 3.54
Al: 0.5854 0.0737 0.5854  2 Ag 2.71-2.79, 5 Al 2.78-2.91
Pr: 0.0000 0.0000 0.0000  6 Ag 3.29, 12 Al 3.60

SG = R-3m, No. 166
E_tot = -4.330 eV per atom
Size of the total moment = 0.00 μB per atom